# BaCu4Te3O12

A relaxed structure of BaCu4Te3O12 (PBE-GGA, the Alexandria database).

a = 7.019 Å, b = 7.019 Å, c = 7.019 Å
α = 106.97°, β = 106.97°, γ = 106.97°
Positions (direct):
Ba: 0.000 0.000 0.000
Cu: 0.869 0.131 0.500
Cu: 0.131 0.500 0.869
Cu: 0.500 0.869 0.131
Cu: 0.500 0.500 0.500
Te: 0.573 0.427 0.000
Te: 0.427 0.000 0.573
Te: 0.000 0.573 0.427
O: 0.500 0.326 0.674
O: 0.901 0.500 0.099
O: 0.099 0.901 0.500
O: 0.500 0.099 0.901
O: 0.362 0.993 0.283
O: 0.283 0.362 0.993
O: 0.993 0.283 0.362
O: 0.638 0.717 0.007
O: 0.007 0.638 0.717
O: 0.717 0.007 0.638
O: 0.674 0.500 0.326
O: 0.326 0.674 0.500

Computed properties:
electronic total energy: -107.17 eV/cell
total magnetic moment: 0.0 μB per cell
formation energy without anion corrections: -0.9972 eV/atom

***

# CaEu2Pb

A relaxed structure of CaEu2Pb (PBE-GGA, the Alexandria database).

a = 5.132 Å, b = 5.132 Å, c = 5.132 Å
α = 90.00°, β = 90.00°, γ = 90.00°
Positions (direct):
Pb: 0.500 0.000 0.000
Eu: 0.000 0.000 0.500
Eu: 0.000 0.500 0.000
Ca: 0.500 0.500 0.500

Computed properties:
electronic total energy: -27.64 eV/cell
relative energy among the computed polymorphs: 0.0000 eV/atom
total magnetic moment: 14.3 μB per cell
formation energy from the elements: -1.4 eV/f.u.

***

# SrAlCr2H

A relaxed structure of SrAlCr2H (PBE-GGA, the Alexandria database).

a = 4.500 Å, b = 4.351 Å, c = 4.500 Å
α = 90.00°, β = 90.00°, γ = 90.00°
Positions (direct):
Sr: 0.500 0.500 0.500
Al: 0.000 0.500 0.000
H: 0.000 0.000 0.000
Cr: 0.000 0.000 0.500
Cr: 0.500 0.000 0.000

Computed properties:
electronic total energy: -24.79 eV/cell
total magnetic moment: 7.3 μB per cell